[1]
Sr2CuP2Pt PBE relaxed; total energy = -4.958 eV per atom; M_tot = 0.0 μB/f.u.; space group = P-6m2 (187)
1.0
-0.555 3.302 -2.392
-2.717 -3.089 -0.094
-4.671 3.912 6.484
Cu P Pt Sr
1 2 1 2
Direct
0.667 0.333 0.000
0.000 0.000 0.000
0.667 0.333 0.500
0.000 0.000 0.500
0.333 0.667 0.248
0.333 0.667 0.752



[2]
PuCuP2 PBE relaxed; total energy = -7.927 eV per atom; M_tot = 4.6 μB/f.u.; space group = I4/mmm (139)
1.0
-1.875 1.875 9.409
1.875 -1.875 9.409
1.875 1.875 -9.409
Cu P Pu
2 4 2
Direct
0.750 0.250 0.500
0.250 0.750 0.500
0.330 0.330 0.000
0.670 0.670 0.000
0.500 0.000 0.500
0.000 0.500 0.500
0.110 0.110 0.000
0.890 0.890 0.000